[1]
LaCe2Y6Er3: relaxed, PBE.

Results
V, Å³/atom: 31.9
Formation enthalpy at 0 K, kJ/mol of formula units: 65
Raw total energy, eV per formula unit: -68.6
Total moment, μB per formula unit: 1.85

Cell: 6.1709 6.1709 11.8015 Å, 95.00 95.00 120.01°
Closest atoms and distances in Å follow each position.
Positions (direct):
Ce  0.3333  0.6667  0.0000  3 Ce 3.56, 3 La 3.56, 6 Y 3.57
Ce  0.6667  0.3333  0.0000  3 Ce 3.56, 3 La 3.56, 6 Y 3.57
Er  0.1666  0.8334  0.5000  6 Y 3.53-3.55, 6 Er 3.56
Er  0.8334  0.1666  0.5000  6 Y 3.53-3.55, 6 Er 3.56
Er  0.5000  0.5000  0.5000  6 Y 3.53-3.55, 6 Er 3.56
Y  0.2520  0.2520  0.7481  3 Er 3.53-3.55, 6 Y 3.55-3.59, 2 Ce 3.57, 1 La 3.59
Y  0.5794  0.9157  0.7481  3 Er 3.53-3.55, 6 Y 3.55-3.59, 2 Ce 3.57, 1 La 3.59
Y  0.7480  0.7480  0.2519  3 Er 3.53-3.55, 6 Y 3.55-3.59, 2 Ce 3.57, 1 La 3.59
Y  0.9157  0.5794  0.7481  3 Er 3.53-3.55, 6 Y 3.55-3.59, 2 Ce 3.57, 1 La 3.59
Y  0.4206  0.0843  0.2519  3 Er 3.53-3.55, 6 Y 3.55-3.59, 2 Ce 3.57, 1 La 3.59
Y  0.0843  0.4206  0.2519  3 Er 3.53-3.55, 6 Y 3.55-3.59, 2 Ce 3.57, 1 La 3.59
La  0.0000  0.0000  0.0000  6 Ce 3.56, 6 Y 3.59

=====

[2]
Zn6CuNi: relaxed, PBE.

Results
Excess energy over the best structure of this formula in the dataset, eV/atom: 0.000
V, Å³/atom: 13.7
Formation enthalpy at 0 K, kJ/mol of formula units: -60
Raw total energy, eV per formula unit: -18.1
Total moment, μB per formula unit: 0.00

Cell: 4.2165 4.2164 6.8346 Å, 72.03 71.98 90.00°
Closest atoms and distances in Å follow each position.
Positions (direct):
Zn  0.1148  0.6146  0.7708  2 Ni 2.54, 2 Cu 2.54, 5 Zn 2.64-2.82
Zn  0.7443  0.7443  0.5114  8 Zn 2.64-2.73
Zn  0.3852  0.8854  0.2292  2 Cu 2.54, 2 Ni 2.54, 5 Zn 2.64-2.82
Zn  0.8852  0.3854  0.2292  2 Ni 2.54, 2 Cu 2.54, 5 Zn 2.64-2.82
Zn  0.2557  0.2557  0.4886  8 Zn 2.64-2.73
Zn  0.6148  0.1146  0.7708  2 Cu 2.54, 2 Ni 2.54, 5 Zn 2.64-2.82
Ni  0.5000  0.5000  0.0000  8 Zn 2.54
Cu  0.0000  0.0000  0.0000  8 Zn 2.54

=====

[3]
Rb2SbN: relaxed, PBE.

Results
Excess energy over the best structure of this formula in the dataset, eV/atom: 0.000
V, Å³/atom: 42.5
Uncorrected formation energy, eV/atom: 0.273
Raw total energy, eV per formula unit: -13.3
Total moment, μB per formula unit: 0.73

Cell: 12.5006 12.5006 9.1029 Å, 46.64 46.64 90.00°
Closest atoms and distances in Å follow each position.
Positions (direct):
Sb  0.0000  0.0000  0.0000  2 N 2.17
Sb  0.7500  0.2500  0.5000  2 N 2.17
Rb  0.8750  0.6571  0.7500  2 N 3.20, 2 Sb 3.55
Rb  0.4071  0.1250  0.2500  2 N 3.20, 2 Sb 3.55
Rb  0.3429  0.6250  0.2500  2 N 3.20, 2 Sb 3.55
Rb  0.3750  0.5929  0.7500  2 N 3.20, 2 Sb 3.55
N  0.2500  0.7500  0.5000  2 Sb 2.17
N  0.5000  0.5000  0.0000  2 Sb 2.17

=====

[4]
Pr2Si2I: relaxed, PBE.

Results
V, Å³/atom: 28.8
Uncorrected formation energy, eV/atom: -0.889
Raw total energy, eV per formula unit: -26.4
Total moment, μB per formula unit: 0.00

Cell: 3.9438 8.2665 9.9485 Å, 114.55 101.43 90.00°
Closest atoms and distances in Å follow each position.
Positions (direct):
Pr  0.6521  0.1521  0.3043  6 Si 3.03-3.20, 2 I 3.39
Pr  0.3479  0.8479  0.6957  6 Si 3.03-3.20, 2 I 3.39
Pr  0.3479  0.3478  0.6957  6 Si 3.03-3.20, 2 I 3.39
Pr  0.6521  0.6522  0.3043  6 Si 3.03-3.20, 2 I 3.39
Si  0.2097  0.4599  0.4197  2 Si 2.43
Si  0.7899  0.0401  0.5803  2 Si 2.43
Si  0.2101  0.9599  0.4197  2 Si 2.43
Si  0.7903  0.5401  0.5803  2 Si 2.43
I  0.4731  0.2500  0.0000  4 Pr 3.39
I  0.5269  0.7500  0.0000  4 Pr 3.39

=====

[5]
CuRePb: relaxed, PBE.

Results
Excess energy over the best structure of this formula in the dataset, eV/atom: 0.000
V, Å³/atom: 19.9
Formation enthalpy at 0 K, kJ/mol of formula units: 253
Raw total energy, eV per formula unit: -17.6
Total moment, μB per formula unit: 0.00

Cell: 7.2342 7.2370 2.9339 Å, 78.25 78.36 23.39°
Closest atoms and distances in Å follow each position.
Positions (direct):
Re  0.6474  0.6474  0.3526  4 Cu 2.58-2.59
Cu  0.0366  0.0366  0.9634  4 Re 2.58-2.59
Pb  0.3160  0.3160  0.6840  4 Pb 2.93, 4 Re 3.12-3.13

=====

[6]
TlIn2Cu: relaxed, PBE.

Results
V, Å³/atom: 24.3
Formation enthalpy at 0 K, kJ/mol of formula units: 108
Raw total energy, eV per formula unit: -10.8
Total moment, μB per formula unit: 0.00

Cell: 5.1644 5.1644 5.1644 Å, 60.00 60.00 60.00°
Closest atoms and distances in Å follow each position.
Positions (direct):
In  0.7500  0.7500  0.7500  4 Cu 3.16, 4 In 3.16
In  0.0000  0.0000  0.0000  4 Tl 3.16, 4 In 3.16
Tl  0.2500  0.2500  0.2500  4 In 3.16, 4 Cu 3.16
Cu  0.5000  0.5000  0.5000  4 In 3.16, 4 Tl 3.16

=====

[7]
Li2CoIr: relaxed, PBE.

Results
Excess energy over the best structure of this formula in the dataset, eV/atom: 0.008
V, Å³/atom: 12.7
Formation enthalpy at 0 K, kJ/mol of formula units: -22
Raw total energy, eV per formula unit: -20.0
Total moment, μB per formula unit: 1.32

Cell: 4.4109 2.5341 4.5376 Å, 87.65 90.00 90.00°
Closest atoms and distances in Å follow each position.
Positions (direct):
Li  0.0000  0.0386  0.9971  6 Li 2.45-2.73, 2 Co 2.55, 2 Ir 2.59
Li  0.0000  0.4614  0.5029  6 Li 2.45-2.73, 2 Co 2.55, 2 Ir 2.59
Co  0.5000  0.2500  0.2500  2 Co 2.53, 4 Ir 2.55-2.64, 4 Li 2.55
Ir  0.5000  0.7500  0.7500  2 Ir 2.53, 4 Co 2.55-2.64, 4 Li 2.59

=====

[8]
Sc3Cd4Ga2: relaxed, PBE.

Results
V, Å³/atom: 20.7
Formation enthalpy at 0 K, kJ/mol of formula units: -282
Raw total energy, eV per formula unit: -31.6
Total moment, μB per formula unit: 0.00

Cell: 4.6915 5.7204 8.7579 Å, 116.87 90.00 114.21°
Closest atoms and distances in Å follow each position.
Positions (direct):
Cd  0.9278  0.8555  0.5983  2 Ga 2.70, 1 Cd 2.80
Cd  0.7049  0.4098  0.0429  1 Ga 2.69, 2 Cd 2.77
Cd  0.2951  0.5902  0.9571  1 Ga 2.69, 2 Cd 2.77
Cd  0.0722  0.1445  0.4017  2 Ga 2.70, 1 Cd 2.80
Ga  0.6062  0.2124  0.2740  3 Cd 2.69-2.70
Ga  0.3938  0.7876  0.7260  3 Cd 2.69-2.70
Sc  0.3338  0.6676  0.3324  8 Cd 3.08-3.25, 4 Ga 3.13-3.19, 2 Sc 3.25
Sc  0.0000  0.0000  0.0000  8 Cd 3.07-3.28, 4 Ga 3.14, 2 Sc 3.25
Sc  0.6662  0.3324  0.6676  8 Cd 3.08-3.25, 4 Ga 3.13-3.19, 2 Sc 3.25

=====

[9]
Sn15Os3O14: relaxed, PBE.

Results
V, Å³/atom: 17.7
Uncorrected formation energy, eV/atom: -1.142
Raw total energy, eV per formula unit: -199.7
Total moment, μB per formula unit: 0.00

Cell: 7.2590 7.2590 13.1612 Å, 74.06 74.06 59.55°
Closest atoms and distances in Å follow each position.
Positions (direct):
Sn  0.9963  0.5112  0.5741  4 O 2.10-2.30
Sn  0.5112  0.9963  0.5741  4 O 2.10-2.30
Sn  0.5703  0.0904  0.8382  2 O 2.19-2.39
Sn  0.3283  0.8539  0.0886  2 O 2.15-2.34
Sn  0.0975  0.0975  0.8224  3 O 2.09-2.11
Sn  0.8539  0.3283  0.0886  2 O 2.15-2.34
Sn  0.9859  0.9859  0.6188  3 O 2.10-2.12
Sn  0.5133  0.5133  0.5792  4 O 2.11-2.28
Sn  0.9046  0.9046  0.3412  4 O 2.10-2.34
Sn  0.3208  0.3208  0.1114  3 O 2.06-2.11
Sn  0.4229  0.9050  0.3471  3 O 2.09-2.33
Sn  0.5566  0.5566  0.8736  3 O 2.13-2.18
Sn  0.8489  0.8489  0.0808  4 O 2.15-2.36
Sn  0.9050  0.4229  0.3471  3 O 2.09-2.33
Sn  0.0904  0.5703  0.8382  2 O 2.19-2.39
O  0.5748  0.0243  0.4066  3 Sn 2.10
O  0.7753  0.7753  0.2521  4 Sn 2.15-2.33
O  0.2563  0.7637  0.8162  3 Sn 2.11-2.19
O  0.3057  0.8768  0.5325  4 Sn 2.12-2.34
O  0.0428  0.0428  0.9901  3 Sn 2.09-2.34
O  0.1822  0.6470  0.1144  3 Sn 2.06-2.20
O  0.7637  0.2563  0.8162  3 Sn 2.11-2.19
O  0.8768  0.3057  0.5325  4 Sn 2.12-2.34
O  0.8773  0.8773  0.5258  4 Sn 2.10-2.34
O  0.0243  0.5748  0.4066  3 Sn 2.10
O  0.3752  0.3752  0.9426  2 Sn 2.11-2.18
O  0.5759  0.5759  0.4106  3 Sn 2.09-2.11
O  0.6470  0.1822  0.1144  3 Sn 2.06-2.20
O  0.6564  0.6564  0.6314  3 Sn 2.12-2.13
Os  0.3024  0.3024  0.6944  6 Sn 2.60-2.67
Os  0.7111  0.7111  0.9653  6 Sn 2.60-2.65
Os  0.1157  0.1157  0.2313  6 Sn 2.57-2.63

=====

[10]
Sm3Re2N7: relaxed, PBE.

Results
V, Å³/atom: 12.9
Uncorrected formation energy, eV/atom: -0.592
Raw total energy, eV per formula unit: -104.4
Total moment, μB per formula unit: 0.00

Cell: 3.8367 3.9940 10.3153 Å, 101.16 90.00 90.00°
Closest atoms and distances in Å follow each position.
Positions (direct):
N  0.0000  0.1997  0.3994  1 Re 2.02
N  0.5000  0.8982  0.7965  2 Re 1.92
N  0.0000  0.5955  0.1910  2 Re 2.00
N  0.0000  0.4045  0.8090  2 Re 2.00
N  0.5000  0.1018  0.2035  2 Re 1.92
N  0.0000  0.8003  0.6006  1 Re 2.02
N  0.0000  0.0000  0.0000  2 Re 2.02
Sm  0.5000  0.5000  0.0000  12 N 2.72-2.87
Sm  0.5000  0.3191  0.6382  8 N 2.56-2.80
Sm  0.5000  0.6809  0.3618  8 N 2.56-2.80
Re  0.0000  0.9002  0.8004  6 N 1.92-2.02
Re  0.0000  0.0998  0.1996  6 N 1.92-2.02

=====

[11]
TlNiAu2: relaxed, PBE.

Results
Excess energy over the best structure of this formula in the dataset, eV/atom: 0.000
V, Å³/atom: 18.8
Formation enthalpy at 0 K, kJ/mol of formula units: 47
Raw total energy, eV per formula unit: -14.2
Total moment, μB per formula unit: 0.00

Cell: 6.1809 6.1809 6.1809 Å, 151.73 137.57 51.77°
Closest atoms and distances in Å follow each position.
Positions (direct):
Au  0.5504  0.5504  0.0000  2 Ni 2.68, 4 Au 2.92
Au  0.9496  0.9496  0.0000  2 Ni 2.68, 4 Au 2.92
Tl  0.2500  0.7500  0.5000  4 Ni 2.70, 2 Tl 3.02
Ni  0.7500  0.2500  0.5000  4 Au 2.68, 4 Tl 2.70

=====

[12]
NaAcSmMg: relaxed, PBE.

Results
V, Å³/atom: 33.9
Formation enthalpy at 0 K, kJ/mol of formula units: 52
Raw total energy, eV per formula unit: -11.2
Total moment, μB per formula unit: 0.00

Cell: 5.7664 5.7664 5.7664 Å, 60.00 60.00 60.00°
Closest atoms and distances in Å follow each position.
Positions (direct):
Na  0.0000  0.0000  0.0000  4 Ac 3.53, 4 Sm 3.53
Mg  0.5000  0.5000  0.5000  4 Sm 3.53, 4 Ac 3.53
Ac  0.7500  0.7500  0.7500  4 Na 3.53, 4 Mg 3.53
Sm  0.2500  0.2500  0.2500  4 Na 3.53, 4 Mg 3.53